VASP calculation (PBE+U) on crystalline HoGe2MoO8 at its relaxed geometry.

Cell lengths 5.772, 5.772, 5.772 Å; angles 107.02, 107.02, 114.50 degrees
Fractional coordinates of all 12 atoms:
1 Ho 0.000 0.000 0.000
2 Ge 0.250 0.750 0.500
3 Ge 0.500 0.500 0.000
4 Mo 0.750 0.250 0.500
5 O 0.041 0.367 0.326
6 O 0.041 0.715 0.674
7 O 0.119 0.313 0.806
8 O 0.285 0.959 0.326
9 O 0.507 0.313 0.194
10 O 0.633 0.959 0.674
11 O 0.687 0.493 0.806
12 O 0.687 0.881 0.194

Computed properties:
As for the space-group type: I-4m2. Its calculated total energy is -7.0088 eV per atom. Its total moment is 1.00 μB per formula unit.